The following is a PBE calculation of crystalline Gd2Tm4N at its relaxed geometry, from Alexandria via LeMat-Bulk.

a = 4.696 Å, b = 4.696 Å, c = 9.444 Å
α = 75.60°, β = 75.60°, γ = 90.00°
Site moments in Bohr magnetons follow the coordinates.
Fractional coordinates of all 7 atoms:
N: 0.000 0.000 0.000  -0.01
Gd: 0.327 0.327 0.346  7.21
Tm: 0.131 0.131 0.738  0.15
Tm: 0.500 0.000 0.000  0.07
Gd: 0.673 0.673 0.654  7.21
Tm: 0.869 0.869 0.262  0.15
Tm: 0.000 0.500 0.000  0.07

Calculated total energy: -56.41 eV per cell
Density of states at the Fermi level: 10.54 states/eV per cell
Uncorrected formation energy: -0.291 eV per atom
Symmetry: I4/mmm (139)